Record 1
Density functional theory data (GGA-PBEsol) for an optimized crystal structure of La3In.

Values from the calculation:
Energy of formation   -0.98 eV per formula unit
ΔE to the lowest computed polymorph   82 meV/atom
Density of states at the Fermi level   4.497 states/eV/cell
Total magnetization   0.0001 μB per atom

a = 3.689 Å, b = 3.689 Å, c = 9.255 Å
α = 90.00°, β = 90.00°, γ = 90.00°
Element x y z (fractional)
La 0.000 0.000 0.000
La 0.500 0.500 0.272
La 0.500 0.500 0.728
In 0.000 0.000 0.500

---

Record 2
Density functional theory data (GGA-PBEsol) for an optimized crystal structure of FeO.

Values from the calculation:
Density of states at the Fermi level   3.625 states/eV/cell
Uncorrected formation energy   -0.92 eV/atom
Total magnetization   1.0186 μB per atom

a = 2.724 Å, b = 2.724 Å, c = 5.194 Å
α = 90.00°, β = 90.00°, γ = 90.00°
Element x y z (fractional)
Fe 0.000 0.500 0.000
Fe 0.500 0.000 0.500
O 0.000 0.000 0.250
O 0.000 0.000 0.750

---

Record 3
Density functional theory data (GGA-PBEsol) for an optimized crystal structure of RbBaS2Cl.

Values from the calculation:
Density of states at the Fermi level   8.153 states/eV/cell
Uncorrected formation energy   -0.89 eV/atom
Total magnetization   0.4043 μB per atom

a = 5.876 Å, b = 5.876 Å, c = 5.946 Å
α = 90.00°, β = 90.00°, γ = 90.00°
Element x y z (fractional)
Rb 0.000 0.000 0.000
Ba 0.500 0.500 0.500
S 0.000 0.500 0.500
S 0.500 0.000 0.500
Cl 0.500 0.500 0.000

---

Record 4
Density functional theory data (GGA-PBEsol) for an optimized crystal structure of BaBeNO2.

Values from the calculation:
Density of states at the Fermi level   2.098 states/eV/cell
Uncorrected formation energy   -0.86 eV/atom
Total magnetization   0.6053 μB per atom

a = 3.930 Å, b = 3.930 Å, c = 3.793 Å
α = 90.00°, β = 90.00°, γ = 90.00°
Element x y z (fractional)
Ba 0.000 0.000 0.000
Be 0.500 0.500 0.500
N 0.500 0.500 0.000
O 0.000 0.500 0.500
O 0.500 0.000 0.500